<one>
Entry from the Alexandria database: a relaxed structure of AcSnPt4 (PBE-GGA).

Lattice parameters (Å, degrees): 7.844 7.844 7.844 90.00 90.00 90.00
Space group F-43m (No. 216)
Asymmetric unit:
Ac 0.000 0.000 0.000 x4
Sn 0.250 0.250 0.250 x4
Pt 0.124 0.124 0.624 x16

Properties
The density of states at the Fermi level comes out at 12.461 states/eV/cell. Its volume is 483 Å³/cell.


<two>
Entry from the Alexandria database: a relaxed structure of AcSnPt4 (PBE-GGA).

Lattice parameters (Å, degrees): 4.241 17.405 6.705 90.00 90.00 90.00
Space group Cmcm (No. 63)
Asymmetric unit:
Ac 0.000 0.097 0.250 x4
Sn 0.000 0.236 0.750 x4
Pt 0.000 0.076 0.750 x4
Pt 0.000 0.338 0.049 x8
Pt 0.000 0.500 0.000 x4

Properties
The density of states at the Fermi level comes out at 14.319 states/eV/cell. Its volume is 495 Å³/cell.


Least stable: <two>


<one>
Entry from the Alexandria database: a relaxed structure of AcSn3Pt3 (PBE-GGA).

Lattice parameters (Å, degrees): 7.311 7.311 7.311 90.00 90.00 90.00
Space group Pm-3n (No. 223)
Asymmetric unit:
Ac 0.000 0.000 0.000 x2
Sn 0.000 0.250 0.500 x6
Pt 0.000 0.500 0.250 x6

Properties
The density of states at the Fermi level comes out at 9.413 states/eV/cell. Its volume is 391 Å³/cell.


<two>
Entry from the Alexandria database: a relaxed structure of AcSn3Pt3 (PBE-GGA).

Lattice parameters (Å, degrees): 8.0095 8.0095 20.1785 90.00 90.00 120.00
Space group R-3 (No. 148, hexagonal axes)
Asymmetric unit:
Ac 0.0000 0.0000 0.1678 x6
Sn 0.0050 0.2874 0.6063 x18
Pt 0.0051 0.3734 0.4065 x18

Properties
The density of states at the Fermi level comes out at 25.888 states/eV/cell. Its volume is 1121 Å³/cell.


Least stable: <one>


<one>
Entry from the Alexandria database: a relaxed structure of Sr2AcPt (PBE-GGA).

Lattice parameters (Å, degrees): 4.361 18.006 4.361 90.00 90.00 90.00
Space group Pmn2_1 (No. 31)
Asymmetric unit:
Sr 0.000 0.080 0.000 x2
Sr 0.000 0.757 0.001 x2
Ac 0.000 0.418 0.002 x2
Pt 0.000 0.589 0.002 x2

Properties
The density of states at the Fermi level comes out at 4.694 states/eV/cell. Its volume is 342 Å³/cell.


<two>
Entry from the Alexandria database: a relaxed structure of Sr2AcPt (PBE-GGA).

Lattice parameters (Å, degrees): 4.0984 4.0984 34.7249 90.00 90.00 120.00
Space group R-3m (No. 166, hexagonal axes)
Asymmetric unit:
Sr 0.0000 0.0000 0.1147 x6
Ac 0.0000 0.0000 0.0000 x3
Pt 0.0000 0.0000 0.5000 x3

Properties
The density of states at the Fermi level comes out at 9.827 states/eV/cell. Its volume is 505 Å³/cell.


<three>
Entry from the Alexandria database: a relaxed structure of Sr2AcPt (PBE-GGA).

Lattice parameters (Å, degrees): 3.815 3.815 9.966 90.00 90.00 90.00
Space group P4/mmm (No. 123)
Asymmetric unit:
Sr 0.000 0.000 0.174 x2
Ac 0.500 0.500 0.500 x1
Pt 0.500 0.500 0.000 x1

Properties
The density of states at the Fermi level comes out at 3.022 states/eV/cell. Its volume is 145 Å³/cell.


Least stable: <two>


<one>
Entry from the Alexandria database: a relaxed structure of SrAc3Pt (PBE-GGA).

Lattice parameters (Å, degrees): 10.843 7.389 11.079 90.00 101.37 90.00
Space group P2_1/c (No. 14)
Asymmetric unit:
Sr 0.060 0.082 0.186 x4
Ac 0.182 0.574 0.059 x4
Ac 0.311 0.091 0.933 x4
Ac 0.433 0.578 0.813 x4
Pt 0.428 0.747 0.560 x4

Properties
The density of states at the Fermi level comes out at 28.395 states/eV/cell. Its volume is 870 Å³/cell.


<two>
Entry from the Alexandria database: a relaxed structure of SrAc3Pt (PBE-GGA).

Lattice parameters (Å, degrees): 6.066 6.066 6.066 90.00 90.00 90.00
Space group Pm-3m (No. 221)
Asymmetric unit:
Sr 0.000 0.000 0.000 x1
Ac 0.000 0.500 0.500 x3
Pt 0.500 0.500 0.500 x1

Properties
The density of states at the Fermi level comes out at 9.688 states/eV/cell. Its volume is 223 Å³/cell.


Least stable: <two>


<one>
Entry from the Alexandria database: a relaxed structure of SrAcPt (PBE-GGA).

Lattice parameters (Å, degrees): 4.4296 4.4296 7.1087 90.00 90.00 120.00
Space group P3m1 (No. 156)
Asymmetric unit:
Sr 0.0000 0.0000 0.0000 x1
Ac 0.6667 0.3333 0.4586 x1
Pt 0.3333 0.6667 0.2463 x1

Properties
The density of states at the Fermi level comes out at 2.307 states/eV/cell. Its volume is 121 Å³/cell.


<two>
Entry from the Alexandria database: a relaxed structure of SrAcPt (PBE-GGA).

Lattice parameters (Å, degrees): 8.469 4.494 11.976 90.00 90.00 90.00
Space group Pnma (No. 62)
Asymmetric unit:
Sr 0.202 0.250 0.026 x4
Ac 0.020 0.250 0.706 x4
Pt 0.082 0.250 0.436 x4

Properties
The density of states at the Fermi level comes out at 8.614 states/eV/cell. Its volume is 456 Å³/cell.


Least stable: <two>


<one>
Entry from the Alexandria database: a relaxed structure of SrAcZnPt (PBE-GGA).

Lattice parameters (Å, degrees): 4.356 4.362 12.287 90.00 90.00 90.00
Space group Amm2 (No. 38)
Asymmetric unit:
Sr 0.000 0.000 0.000 x2
Ac 0.500 0.000 0.280 x2
Zn 0.500 0.000 0.580 x2
Pt 0.000 0.000 0.720 x2

Properties
The density of states at the Fermi level comes out at 4.612 states/eV/cell. Its volume is 233 Å³/cell.


<two>
Entry from the Alexandria database: a relaxed structure of SrAcZnPt (PBE-GGA).

Lattice parameters (Å, degrees): 7.596 7.596 7.596 90.00 90.00 90.00
Space group F-43m (No. 216)
Asymmetric unit:
Sr 0.000 0.000 0.000 x4
Ac 0.000 0.000 0.500 x4
Zn 0.250 0.250 0.250 x4
Pt 0.250 0.250 0.750 x4

Properties
The density of states at the Fermi level comes out at 12.588 states/eV/cell. Its volume is 438 Å³/cell.


Least stable: <two>


<one>
Entry from the Alexandria database: a relaxed structure of AcTbPt (PBE-GGA).

Lattice parameters (Å, degrees): 4.2798 4.2798 6.5240 90.00 90.00 120.00
Space group P3m1 (No. 156)
Asymmetric unit:
Ac 0.0000 0.0000 0.0000 x1
Tb 0.3333 0.6667 0.4824 x1
Pt 0.6667 0.3333 0.2723 x1

Properties
The density of states at the Fermi level comes out at 2.843 states/eV/cell. Its volume is 103 Å³/cell.


<two>
Entry from the Alexandria database: a relaxed structure of AcTbPt (PBE-GGA).

Lattice parameters (Å, degrees): 7.240 7.240 7.240 90.00 90.00 90.00
Space group F-43m (No. 216)
Asymmetric unit:
Ac 0.000 0.000 0.000 x4
Tb 0.000 0.000 0.500 x4
Pt 0.250 0.250 0.250 x4

Properties
The density of states at the Fermi level comes out at 10.336 states/eV/cell. Its volume is 380 Å³/cell.


Least stable: <two>


<one>
Entry from the Alexandria database: a relaxed structure of AcTbPt (PBE-GGA).

Lattice parameters (Å, degrees): 7.244 7.269 9.331 90.00 127.00 90.00
Space group P2_1/c (No. 14)
Asymmetric unit:
Ac 0.204 0.055 0.433 x4
Tb 0.323 0.551 0.565 x4
Pt 0.305 0.704 0.282 x4

Properties
The density of states at the Fermi level comes out at 11.613 states/eV/cell. Its volume is 392 Å³/cell.


<two>
Entry from the Alexandria database: a relaxed structure of AcTbPt (PBE-GGA).

Lattice parameters (Å, degrees): 12.101 12.101 6.095 90.00 90.00 90.00
Space group I4/mmm (No. 139)
Asymmetric unit:
Ac 0.000 0.312 0.000 x8
Tb 0.173 0.173 0.500 x8
Pt 0.000 0.324 0.500 x8

Properties
The density of states at the Fermi level comes out at 17.881 states/eV/cell. Its volume is 892 Å³/cell.


<three>
Entry from the Alexandria database: a relaxed structure of AcTbPt (PBE-GGA).

Lattice parameters (Å, degrees): 7.002 7.003 7.285 90.00 90.67 90.00
Space group C2/m (No. 12)
Asymmetric unit:
Ac 0.249 0.000 0.382 x4
Tb 0.000 0.251 0.000 x4
Pt 0.245 0.000 0.793 x4

Properties
The density of states at the Fermi level comes out at 11.920 states/eV/cell. Its volume is 357 Å³/cell.


Least stable: <two>


<one>
Entry from the Alexandria database: a relaxed structure of Ac2TbPt (PBE-GGA).

Lattice parameters (Å, degrees): 3.875 3.875 8.794 90.00 90.00 90.00
Space group P4/mmm (No. 123)
Asymmetric unit:
Ac 0.000 0.000 0.202 x2
Tb 0.500 0.500 0.500 x1
Pt 0.500 0.500 0.000 x1

Properties
The density of states at the Fermi level comes out at 5.211 states/eV/cell. Its volume is 132 Å³/cell.


<two>
Entry from the Alexandria database: a relaxed structure of Ac2TbPt (PBE-GGA).

Lattice parameters (Å, degrees): 4.0601 4.0601 33.0276 90.00 90.00 120.00
Space group R-3m (No. 166, hexagonal axes)
Asymmetric unit:
Ac 0.0000 0.0000 0.1103 x6
Tb 0.0000 0.0000 0.0000 x3
Pt 0.0000 0.0000 0.5000 x3

Properties
The density of states at the Fermi level comes out at 18.018 states/eV/cell. Its volume is 472 Å³/cell.


Least stable: <two>


<one>
Entry from the Alexandria database: a relaxed structure of AcThPt (PBE-GGA).

Lattice parameters (Å, degrees): 5.300 5.300 7.032 90.00 90.00 90.00
Space group P4/nmm (No. 129, origin choice 2)
Asymmetric unit:
Ac 0.250 0.250 0.108 x2
Th 0.250 0.750 0.500 x2
Pt 0.250 0.250 0.674 x2

Properties
The density of states at the Fermi level comes out at 5.945 states/eV/cell. Its volume is 198 Å³/cell.


<two>
Entry from the Alexandria database: a relaxed structure of AcThPt (PBE-GGA).

Lattice parameters (Å, degrees): 7.724 6.504 7.613 90.00 106.78 90.00
Space group P2_1/c (No. 14)
Asymmetric unit:
Ac 0.149 0.143 0.363 x4
Th 0.419 0.646 0.300 x4
Pt 0.174 0.622 0.516 x4

Properties
The density of states at the Fermi level comes out at 12.912 states/eV/cell. Its volume is 366 Å³/cell.


<three>
Entry from the Alexandria database: a relaxed structure of AcThPt (PBE-GGA).

Lattice parameters (Å, degrees): 7.295 7.295 7.295 90.00 90.00 90.00
Space group F-43m (No. 216)
Asymmetric unit:
Ac 0.000 0.000 0.000 x4
Th 0.000 0.000 0.500 x4
Pt 0.250 0.250 0.250 x4

Properties
The density of states at the Fermi level comes out at 21.617 states/eV/cell. Its volume is 388 Å³/cell.


<four>
Entry from the Alexandria database: a relaxed structure of AcThPt (PBE-GGA).

Lattice parameters (Å, degrees): 4.8282 4.8282 4.8712 90.00 90.00 120.00
Space group P3m1 (No. 156)
Asymmetric unit:
Ac 0.0000 0.0000 0.0000 x1
Th 0.3333 0.6667 0.5003 x1
Pt 0.6667 0.3333 0.4959 x1

Properties
The density of states at the Fermi level comes out at 2.777 states/eV/cell. Its volume is 98 Å³/cell.


Least stable: <three>


<one>
Entry from the Alexandria database: a relaxed structure of AcTiPt2 (PBE-GGA).

Lattice parameters (Å, degrees): 3.339 3.339 7.471 90.00 90.00 90.00
Space group P4/mmm (No. 123)
Asymmetric unit:
Ac 0.000 0.000 0.000 x1
Ti 0.000 0.000 0.500 x1
Pt 0.500 0.500 0.312 x2

Properties
The density of states at the Fermi level comes out at 2.544 states/eV/cell. Its volume is 83 Å³/cell.


<two>
Entry from the Alexandria database: a relaxed structure of AcTiPt2 (PBE-GGA).

Lattice parameters (Å, degrees): 4.4417 4.4417 16.2204 90.00 90.00 120.00
Space group R-3m (No. 166, hexagonal axes)
Asymmetric unit:
Ac 0.0000 0.0000 0.0000 x3
Ti 0.0000 0.0000 0.5000 x3
Pt 0.0000 0.0000 0.2077 x6

Properties
The density of states at the Fermi level comes out at 11.925 states/eV/cell. Its volume is 277 Å³/cell.


Least stable: <one>